DFT (PBE) results for crystalline La2TmO at its relaxed geometry.

Output
VASP energy = -5.974 eV/atom
Density of states at the Fermi level = 1.1141 states/eV per atom
V = 27.36 Å³ per atom

a b c (Å): 3.647 3.647 28.505
angles (deg): 90.00 90.00 120.00
Element x y z (fractional)
1 La 0.000 0.000 0.117
2 La 0.000 0.000 0.883
3 La 0.333 0.667 0.550
4 La 0.333 0.667 0.784
5 La 0.667 0.333 0.216
6 La 0.667 0.333 0.450
7 Tm 0.000 0.000 0.000
8 Tm 0.333 0.667 0.667
9 Tm 0.667 0.333 0.333
10 O 0.000 0.000 0.500
11 O 0.333 0.667 0.167
12 O 0.667 0.333 0.833